# Li4Ti4V4CoO18 PBE with a Hubbard U optimized geometry
# DFT total energy ... -7.617 eV per atom
data_Li4Ti4V4CoO18
_space_group_name_H-M_alt 'P b a m'
_space_group_IT_number 55
_cell_length_a 9.312
_cell_length_b 24.222
_cell_length_c 2.970
_cell_angle_alpha 90.00
_cell_angle_beta 90.00
_cell_angle_gamma 90.00
loop_
_space_group_symop_operation_xyz
'x,y,z'
'-x,-y,-z'
'-x,-y,z'
'x,y,-z'
'x+1/2,-y+1/2,-z'
'-x+1/2,y+1/2,z'
'-x+1/2,y+1/2,-z'
'x+1/2,-y+1/2,z'
loop_
_atom_site_label
_atom_site_type_symbol
_atom_site_fract_x
_atom_site_fract_y
_atom_site_fract_z
Li1 Li 0.159 0.194 0.000
Li2 Li 0.197 0.994 0.000
Ti1 Ti 0.031 0.900 0.000
Ti2 Ti 0.196 0.807 0.500
V1 V 0.037 0.683 0.000
V2 V 0.181 0.588 0.500
Co1 Co 0.000 0.500 0.000
O1 O 0.009 0.158 0.500
O2 O 0.041 0.598 0.000
O3 O 0.083 0.946 0.500
O4 O 0.100 0.295 0.500
O5 O 0.147 0.757 0.000
O6 O 0.149 0.511 0.500
O7 O 0.175 0.080 0.000
O8 O 0.188 0.666 0.500
O9 O 0.216 0.860 0.000